Record 1
MgZn2Co | PBE | relaxed

abc: 9.635 3.092 4.244
angles: 90.00 115.98 90.00
Sites, in units of the cell vectors:
Mg1 0.000 0.000 0.000
Mg2 0.500 0.500 0.000
Zn1 0.226 0.000 0.727
Zn2 0.274 0.500 0.273
Zn3 0.726 0.500 0.727
Zn4 0.774 0.000 0.273
Co1 0.000 0.500 0.500
Co2 0.500 0.000 0.500

## Properties
- Uncorrected energy: -2.85 eV/atom
- SG: C2/m (12)
- DOS at the Fermi energy: 0.385 states/eV per atom

***

Record 2
CaFe2Tc | PBE | relaxed

abc: 6.929 6.929 5.739
angles: 90.00 90.00 90.00
Sites, in units of the cell vectors:
Ca1 0.000 0.000 0.000
Ca2 0.000 0.500 0.250
Ca3 0.500 0.000 0.750
Ca4 0.500 0.500 0.500
Fe1 0.186 0.750 0.625
Fe2 0.250 0.186 0.375
Fe3 0.250 0.314 0.875
Fe4 0.314 0.750 0.125
Fe5 0.686 0.250 0.125
Fe6 0.750 0.686 0.875
Fe7 0.750 0.814 0.375
Fe8 0.814 0.250 0.625
Tc1 0.000 0.000 0.500
Tc2 0.000 0.500 0.750
Tc3 0.500 0.000 0.250
Tc4 0.500 0.500 0.000

## Properties
- Uncorrected energy: -6.49 eV/atom
- SG: I-42d (122)
- DOS at the Fermi energy: 1.212 states/eV per atom
- Energy above the most stable polymorph in this dataset: 0.467 eV/atom

***

Record 3
Zn2Mo2As | PBE | relaxed

abc: 6.359 6.359 4.187
angles: 90.00 90.00 90.00
Sites, in units of the cell vectors:
Zn1 0.155 0.345 0.000
Zn2 0.345 0.845 0.000
Zn3 0.655 0.155 0.000
Zn4 0.845 0.655 0.000
Mo1 0.140 0.640 0.500
Mo2 0.360 0.140 0.500
Mo3 0.640 0.860 0.500
Mo4 0.860 0.360 0.500
As1 0.000 0.000 0.500
As2 0.500 0.500 0.500

## Properties
- Uncorrected energy: -5.66 eV/atom
- SG: P4/mbm (127)
- DOS at the Fermi energy: 0.879 states/eV per atom

***

Record 4
Gd2HPb | PBE | relaxed

abc: 3.616 3.616 24.220
angles: 90.00 90.00 120.00
Sites, in units of the cell vectors:
Gd1 0.000 0.000 0.224
Gd2 0.000 0.000 0.776
Gd3 0.333 0.667 0.442
Gd4 0.333 0.667 0.891
Gd5 0.667 0.333 0.109
Gd6 0.667 0.333 0.558
H1 0.000 0.000 0.500
H2 0.333 0.667 0.167
H3 0.667 0.333 0.833
Pb1 0.000 0.000 0.000
Pb2 0.333 0.667 0.667
Pb3 0.667 0.333 0.333

## Properties
- Uncorrected energy: -9.17 eV/atom
- SG: R-3m (166)
- DOS at the Fermi energy: 0.721 states/eV per atom

***

Record 5
Cs2LaAuCl6 | PBE | relaxed

abc: 7.567 7.871 8.020
angles: 110.56 102.31 110.98
Sites, in units of the cell vectors:
Cs1 0.246 0.042 0.284
Cs2 0.754 0.958 0.716
La1 0.500 0.500 0.000
Au1 0.000 0.500 0.500
Cl1 0.172 0.389 0.105
Cl2 0.308 0.521 0.655
Cl3 0.351 0.087 0.755
Cl4 0.649 0.913 0.245
Cl5 0.692 0.479 0.345
Cl6 0.828 0.611 0.895

## Properties
- Uncorrected energy: -3.89 eV/atom
- Formation energy without anion corrections: -172 kJ/mol of atoms
- SG: P-1 (2)
- DOS at the Fermi energy: 0.000 states/eV per atom

***

Record 6
VFe2I | PBE | relaxed

abc: 3.850 3.850 18.588
angles: 90.00 90.00 90.00
Sites, in units of the cell vectors:
V1 0.000 0.000 0.000
V2 0.000 0.500 0.250
V3 0.500 0.000 0.750
V4 0.500 0.500 0.500
Fe1 0.215 0.250 0.125
Fe2 0.250 0.715 0.375
Fe3 0.250 0.785 0.875
Fe4 0.285 0.250 0.625
Fe5 0.715 0.750 0.625
Fe6 0.750 0.215 0.875
Fe7 0.750 0.285 0.375
Fe8 0.785 0.750 0.125
I1 0.000 0.000 0.500
I2 0.000 0.500 0.750
I3 0.500 0.000 0.250
I4 0.500 0.500 0.000

## Properties
- Uncorrected energy: -6.03 eV/atom
- Formation energy without anion corrections: 84 kJ/mol of atoms
- SG: I-42d (122)
- DOS at the Fermi energy: 1.023 states/eV per atom
- Energy above the most stable polymorph in this dataset: 0.039 eV/atom

***

Record 7
Ce3Zr2TaN6 | PBE | relaxed

abc: 5.753 5.753 5.981
angles: 99.24 99.24 119.98
Sites, in units of the cell vectors:
Ce1 0.000 0.000 0.000
Ce2 0.332 0.668 0.000
Ce3 0.668 0.332 0.000
Zr1 0.167 0.833 0.500
Zr2 0.833 0.167 0.500
Ta1 0.500 0.500 0.500
N1 0.106 0.428 0.285
N2 0.250 0.250 0.717
N3 0.428 0.106 0.285
N4 0.572 0.894 0.715
N5 0.750 0.750 0.283
N6 0.894 0.572 0.715

## Properties
- Uncorrected energy: -9.61 eV/atom
- Formation energy without anion corrections: -150 kJ/mol of atoms
- SG: C2/m (12)
- DOS at the Fermi energy: 0.626 states/eV per atom

***

Record 8
PrNd5In2 | PBE | relaxed

abc: 7.059 14.121 5.001
angles: 90.00 90.00 90.00
Sites, in units of the cell vectors:
Pr1 0.000 0.000 0.000
Pr2 0.500 0.500 0.000
Nd1 0.000 0.500 0.000
Nd2 0.001 0.250 0.000
Nd3 0.250 0.375 0.500
Nd4 0.250 0.875 0.500
Nd5 0.499 0.750 0.000
Nd6 0.500 0.000 0.000
Nd7 0.501 0.250 0.000
Nd8 0.750 0.125 0.500
Nd9 0.750 0.625 0.500
Nd10 0.999 0.750 0.000
In1 0.249 0.625 0.500
In2 0.251 0.125 0.500
In3 0.749 0.875 0.500
In4 0.751 0.375 0.500

## Properties
- Uncorrected energy: -4.54 eV/atom
- SG: Pbam (55)
- DOS at the Fermi energy: 1.534 states/eV per atom
- Energy above the most stable polymorph in this dataset: 0.000 eV/atom

***

Record 9
CaTe3W | PBE | relaxed

abc: 5.404 5.404 5.404
angles: 90.00 90.00 90.00
Sites, in units of the cell vectors:
Ca1 0.000 0.000 0.000
Te1 0.000 0.500 0.500
Te2 0.500 0.000 0.500
Te3 0.500 0.500 0.000
W1 0.500 0.500 0.500

## Properties
- Uncorrected energy: -4.79 eV/atom
- Formation energy without anion corrections: 8 kJ/mol of atoms
- SG: Pm-3m (221)
- DOS at the Fermi energy: 1.083 states/eV per atom
- Energy above the most stable polymorph in this dataset: 0.000 eV/atom

***

Record 10
MnMo2W | PBE | relaxed

abc: 5.357 8.809 2.698
angles: 90.00 109.08 90.00
Sites, in units of the cell vectors:
Mn1 0.000 0.000 0.000
Mn2 0.500 0.500 0.000
Mo1 0.250 0.250 0.500
Mo2 0.250 0.750 0.500
Mo3 0.750 0.250 0.500
Mo4 0.750 0.750 0.500
W1 0.000 0.500 0.000
W2 0.500 0.000 0.000

## Properties
- Uncorrected energy: -10.86 eV/atom
- SG: C2/m (12)
- DOS at the Fermi energy: 0.821 states/eV per atom
- Energy above the most stable polymorph in this dataset: 0.035 eV/atom

***

Record 11
TcMo2Os | PBE | relaxed

abc: 9.294 2.776 4.791
angles: 90.00 99.28 90.00
Sites, in units of the cell vectors:
Tc1 0.000 0.000 0.000
Tc2 0.500 0.500 0.000
Mo1 0.246 0.000 0.752
Mo2 0.483 0.000 0.483
Mo3 0.746 0.500 0.752
Mo4 0.983 0.500 0.483
Os1 0.238 0.500 0.240
Os2 0.738 0.000 0.240

## Properties
- Uncorrected energy: -10.69 eV/atom
- SG: Cm (8)
- DOS at the Fermi energy: 0.875 states/eV per atom
- Energy above the most stable polymorph in this dataset: 0.014 eV/atom

***

Record 12
Pr2Ga4Pd3Pt | PBE | relaxed

abc: 4.405 4.405 10.116
angles: 90.00 90.00 90.00
Sites, in units of the cell vectors:
Pr1 0.000 0.500 0.250
Pr2 0.500 0.000 0.750
Ga1 0.000 0.000 0.000
Ga2 0.000 0.500 0.627
Ga3 0.500 0.000 0.373
Ga4 0.500 0.500 0.000
Pd1 0.000 0.500 0.872
Pd2 0.500 0.000 0.128
Pd3 0.500 0.500 0.500
Pt1 0.000 0.000 0.500

## Properties
- Uncorrected energy: -5.17 eV/atom
- SG: P-4m2 (115)
- DOS at the Fermi energy: 0.807 states/eV per atom